# 1
HfAlZn4: optimized geometry, GGA-PBE.

a b c (Å): 6.7591 6.7591 5.5124
angles (deg): 90.00 90.00 90.00
Closest atoms and distances in Å follow each position.
Sites, in units of the cell vectors:
Hf  0.5000  0.5000  0.5000  4 Zn 2.74, 2 Al 2.76
Hf  0.0000  0.0000  0.0000  4 Zn 2.74, 2 Al 2.76
Zn  0.6735  0.0000  0.2942  1 Zn 2.35, 1 Al 2.48
Zn  0.0000  0.3265  0.7058  1 Zn 2.35, 1 Al 2.48
Zn  0.5000  0.1735  0.7942  1 Zn 2.35, 1 Al 2.48
Zn  0.0000  0.6735  0.7058  1 Zn 2.35, 1 Al 2.48
Zn  0.3265  0.0000  0.2942  1 Zn 2.35, 1 Al 2.48
Zn  0.5000  0.8265  0.7942  1 Zn 2.35, 1 Al 2.48
Zn  0.1735  0.5000  0.2058  1 Zn 2.35, 1 Al 2.48
Zn  0.8265  0.5000  0.2058  1 Zn 2.35, 1 Al 2.48
Al  0.0000  0.0000  0.5000  4 Zn 2.48, 2 Hf 2.76
Al  0.5000  0.5000  0.0000  4 Zn 2.48, 2 Hf 2.76

## Properties
Total magnetization: 0.0 μB/cell
Total energy: -2.729 eV per atom
Energy of formation: 0.4034 eV/atom
DOS at the Fermi energy: 9.763 states/eV/cell

---

# 2
TaPb2Au: optimized geometry, GGA-PBE.

a b c (Å): 7.9403 7.9403 6.4144
angles (deg): 51.76 51.76 90.00
Closest atoms and distances in Å follow each position.
Sites, in units of the cell vectors:
Pb  0.8750  0.8834  0.7500  2 Au 2.87, 2 Ta 2.96, 2 Pb 3.10
Pb  0.6334  0.1250  0.2500  2 Au 2.87, 2 Ta 2.96, 2 Pb 3.10
Pb  0.1166  0.6250  0.2500  2 Au 2.87, 2 Ta 2.96, 2 Pb 3.10
Pb  0.3750  0.3666  0.7500  2 Au 2.87, 2 Ta 2.96, 2 Pb 3.10
Au  0.0000  0.0000  0.0000  4 Pb 2.87, 2 Ta 3.10
Au  0.7500  0.2500  0.5000  4 Pb 2.87, 2 Ta 3.10
Ta  0.2500  0.7500  0.5000  4 Pb 2.96, 2 Au 3.10
Ta  0.5000  0.5000  0.0000  4 Pb 2.96, 2 Au 3.10

## Properties
Total magnetization: 0.3 μB/cell
Total energy: -4.873 eV per atom
Energy of formation: 0.7638 eV/atom
DOS at the Fermi energy: 8.108 states/eV/cell

---

# 3
TePS2N: optimized geometry, GGA-PBE.

a b c (Å): 5.1044 5.1044 5.3486
angles (deg): 90.00 90.00 90.00
Closest atoms and distances in Å follow each position.
Sites, in units of the cell vectors:
P  0.0000  0.0000  0.5000  2 Te 2.67
S  0.0000  0.5000  0.0000  2 Te 2.55
S  0.5000  0.0000  0.0000  2 Te 2.55
Te  0.0000  0.0000  0.0000  4 S 2.55, 2 P 2.67
N  0.5000  0.5000  0.5000  4 P 3.61, 8 S 3.70

## Properties
Total magnetization: 1.4 μB/cell
Total energy: -3.156 eV per atom
E_form (uncorrected): 9.4 eV/f.u.
DOS at the Fermi energy: 3.768 states/eV/cell

---

# 4
TbSi3Ni2: optimized geometry, GGA-PBE.

a b c (Å): 5.2287 5.9123 5.9123
angles (deg): 103.83 90.00 90.00
Closest atoms and distances in Å follow each position.
Sites, in units of the cell vectors:
Si  0.7500  0.1248  0.4667  4 Ni 2.29-2.54, 1 Si 2.37
Si  0.2500  0.5333  0.8752  4 Ni 2.29-2.54, 1 Si 2.37
Si  0.7500  0.0554  0.0554  4 Ni 2.35, 2 Si 2.37
Si  0.2500  0.9446  0.9446  4 Ni 2.35, 2 Si 2.37
Si  0.2500  0.8752  0.5333  4 Ni 2.29-2.54, 1 Si 2.37
Si  0.7500  0.4667  0.1248  4 Ni 2.29-2.54, 1 Si 2.37
Tb  0.7500  0.6681  0.6681  7 Si 2.82-3.15
Tb  0.2500  0.3319  0.3319  7 Si 2.82-3.15
Ni  0.5000  0.2058  0.7942  6 Si 2.29-2.54
Ni  0.0000  0.2058  0.7942  6 Si 2.29-2.54
Ni  0.5000  0.7942  0.2058  6 Si 2.29-2.54
Ni  0.0000  0.7942  0.2058  6 Si 2.29-2.54

## Properties
Total magnetization: 0.0 μB/cell
Total energy: -5.971 eV per atom
E_form (uncorrected): -3.4 eV/f.u.
DOS at the Fermi energy: 6.525 states/eV/cell

---

Look up the total energy of the first one.
-2.729 eV per atom

---

Among the records above, which one has the highest DOS at the Fermi energy?
HfAlZn4